CeNi12As6 | GGA-PBE | relaxed

Output
Final energy (eV per atom): -5.69
Energy of formation (eV/atom): -0.2548
Magnetization (μB per cell): 1.0

a b c (Å): 6.714 6.714 6.714
angles (deg): 104.55 104.55 104.55
Last column: magnetic moment on the atom in μB.
Fractional coordinates of all 19 atoms:
Ni1 0.830 0.572 0.572  0.00
Ni2 0.428 0.428 0.170  0.00
Ni3 0.500 0.877 0.123  0.01
Ni4 0.877 0.123 0.500  0.01
Ni5 0.572 0.572 0.830  0.00
Ni6 0.123 0.500 0.877  0.01
Ni7 0.572 0.830 0.572  0.00
Ni8 0.170 0.428 0.428  0.00
Ni9 0.428 0.170 0.428  0.00
Ni10 0.123 0.877 0.500  0.01
Ni11 0.877 0.500 0.123  0.01
Ni12 0.500 0.123 0.877  0.01
As1 0.308 0.752 0.752  0.00
As2 0.752 0.752 0.308  0.00
As3 0.248 0.248 0.692  0.00
As4 0.752 0.308 0.752  0.00
As5 0.248 0.692 0.248  0.00
As6 0.692 0.248 0.248  0.00
Ce1 0.000 0.000 0.000  0.83